Compound: FeSi
Source: Alexandria
Functional: PBE
Structure: relaxed

The space group is C2/m (No. 12) and the conventional cell measures 10.966, 2.631 and 4.825 Å, with angles of 90.00, 105.60 and 90.00 degrees. The inequivalent atoms are Fe at (0.000, 0.000, 0.000), Fe at (0.166, 0.500, 0.791), Si at (0.000, 0.000, 0.500) and Si at (0.167, 0.500, 0.292).

The density is 6.24 g/cm3. The value obtained for the energy relative to the elements, uncorrected is -0.54 eV/f.u.

Compound: NaNb2F11
Source: Alexandria
Functional: PBE
Structure: relaxed

The space group is Ibam (No. 72) and the conventional cell measures 8.041, 10.128 and 10.633 Å, with angles of 90.00, 90.00 and 90.00 degrees. The inequivalent atoms are Na at (0.000, 0.000, 0.250), Nb at (0.113, 0.312, 0.000), F at (0.000, 0.500, 0.000), F at (0.097, 0.174, 0.125), F at (0.133, 0.291, 0.500) and F at (0.235, 0.401, 0.129).

The density is 3.20 g/cm3. The value obtained for the energy relative to the elements, uncorrected is -41.94 eV/f.u.

Compound: H2Pd6Pb
Source: Alexandria
Functional: PBE
Structure: relaxed

The space group is C2/m (No. 12) and the conventional cell measures 9.337, 3.017 and 9.087 Å, with angles of 90.00, 99.28 and 90.00 degrees. The inequivalent atoms are H at (0.130, 0.000, 0.176), Pd at (0.060, 0.000, 0.806), Pd at (0.151, 0.500, 0.068), Pd at (0.249, 0.500, 0.642) and Pb at (0.000, 0.000, 0.500).

The density is 11.15 g/cm3.

Compound: CaNb2Rh2
Source: Alexandria
Functional: PBE
Structure: relaxed

The space group is P4/mbm (No. 127) and the conventional cell measures 8.034, 8.034 and 2.861 Å, with angles of 90.00, 90.00 and 90.00 degrees. The inequivalent atoms are Ca at (0.000, 0.000, 0.000), Nb at (0.120, 0.380, 0.000) and Rh at (0.175, 0.675, 0.500).

The value obtained for the energy of formation from the pure elements is -5.15 kcal/mol of atoms. The density is 7.76 g/cm3. The calculation puts the energy relative to the lowest polymorph listed for this composition at 0.27 eV per formula unit.

Compound: CrTc2Pb
Source: Alexandria
Functional: PBE
Structure: relaxed

The space group is Cm (No. 8) and the conventional cell measures 9.227, 3.073 and 4.840 Å, with angles of 90.00, 101.54 and 90.00 degrees. The inequivalent atoms are Cr at (0.000, 0.000, 0.000), Tc at (0.023, 0.500, 0.638), Tc at (0.265, 0.000, 0.823) and Pb at (0.260, 0.500, 0.315).

The value obtained for the energy of formation from the pure elements is 12.93 kcal/mol of atoms. The density is 11.24 g/cm3. The calculation puts the energy relative to the lowest polymorph listed for this composition at 0.39 eV per formula unit.

Compound: PrMgGeN3
Source: Alexandria
Functional: PBE
Structure: relaxed

The space group is P2_1/m (No. 11) and the conventional cell measures 5.943, 3.314 and 8.525 Å, with angles of 90.00, 96.60 and 90.00 degrees. The inequivalent atoms are Pr at (0.189, 0.250, 0.337), Mg at (0.201, 0.750, 0.998), Ge at (0.307, 0.250, 0.713), N at (0.089, 0.250, 0.855), N at (0.240, 0.750, 0.581) and N at (0.399, 0.750, 0.207).

The density is 5.57 g/cm3. The value obtained for the energy relative to the elements, uncorrected is -4.13 eV/f.u.

Compound: TiCu2PdAu
Source: Alexandria
Functional: PBE
Structure: relaxed

The space group is P2_1/m (No. 11) and the conventional cell measures 6.467, 2.747 and 8.772 Å, with angles of 90.00, 104.70 and 90.00 degrees. The inequivalent atoms are Ti at (0.015, 0.250, 0.248), Cu at (0.178, 0.250, 0.551), Cu at (0.383, 0.750, 0.385), Pd at (0.198, 0.750, 0.055) and Au at (0.415, 0.750, 0.808).

The value obtained for the energy of formation from the pure elements is -3.05 kcal/mol of atoms. The density is 10.54 g/cm3.

Compound: Ti7VPd4
Source: Alexandria
Functional: PBE
Structure: relaxed

The space group is P-3m1 (No. 164) and the conventional cell measures 4.3906, 4.3906 and 11.4725 Å, with angles of 90.00, 90.00 and 120.00 degrees. The inequivalent atoms are Ti at (0.0000, 0.0000, 0.0000), Ti at (0.0000, 0.0000, 0.2659), Ti at (0.3333, 0.6667, 0.1503), Ti at (0.3333, 0.6667, 0.4258), V at (0.0000, 0.0000, 0.5000), Pd at (0.3333, 0.6667, 0.6602) and Pd at (0.3333, 0.6667, 0.8988).

The value obtained for the energy of formation from the pure elements is -6.54 kcal/mol of atoms. The density is 7.04 g/cm3.

Compound: La3PmEr2
Source: Alexandria
Functional: PBE
Structure: relaxed

The space group is C2/c (No. 15) and the conventional cell measures 10.665, 13.446 and 5.756 Å, with angles of 90.00, 90.68 and 90.00 degrees. The inequivalent atoms are La at (0.000, 0.192, 0.250), La at (0.169, 0.061, 0.751), Pm at (0.000, 0.443, 0.250) and Er at (0.165, 0.321, 0.750).

The value obtained for the energy of formation from the pure elements is 1.40 kcal/mol of atoms. The density is 7.21 g/cm3. The calculation puts the energy relative to the lowest polymorph listed for this composition at 0.00 eV per formula unit.

Compound: UTl4Br7
Source: Alexandria
Functional: PBE
Structure: relaxed

The space group is C2/m (No. 12) and the conventional cell measures 22.033, 5.671 and 7.930 Å, with angles of 90.00, 107.14 and 90.00 degrees. The inequivalent atoms are U at (0.000, 0.000, 0.000), Tl at (0.085, 0.500, 0.640), Tl at (0.197, 0.500, 0.251), Br at (0.000, 0.500, 0.000), Br at (0.077, 0.000, 0.363), Br at (0.116, 0.000, 0.896) and Br at (0.225, 0.500, 0.666).

The density is 5.66 g/cm3. The value obtained for the energy relative to the elements, uncorrected is -11.56 eV/f.u.

Compound: RbTcBi2P
Source: Alexandria
Functional: PBE
Structure: relaxed

The space group is P4/mmm (No. 123) and the conventional cell measures 5.758, 5.758 and 4.525 Å, with angles of 90.00, 90.00 and 90.00 degrees. The inequivalent atoms are Rb at (0.000, 0.000, 0.000), Tc at (0.500, 0.500, 0.000), Bi at (0.000, 0.500, 0.500) and P at (0.500, 0.500, 0.500).

The value obtained for the energy of formation from the pure elements is 10.52 kcal/mol of atoms. The density is 7.00 g/cm3.

Compound: NaPr2As4Pd3
Source: Alexandria
Functional: PBE
Structure: relaxed

The space group is P-4m2 (No. 115) and the conventional cell measures 4.447, 4.447 and 10.479 Å, with angles of 90.00, 90.00 and 90.00 degrees. The inequivalent atoms are Na at (0.000, 0.000, 0.000), Pr at (0.000, 0.500, 0.736), As at (0.000, 0.000, 0.500), As at (0.000, 0.500, 0.147), As at (0.500, 0.500, 0.500), Pd at (0.000, 0.500, 0.384) and Pd at (0.500, 0.500, 0.000).

The value obtained for the energy of formation from the pure elements is -18.03 kcal/mol of atoms. The density is 7.40 g/cm3.

Compound: Tm4InPd7
Source: Alexandria
Functional: PBE
Structure: relaxed

The space group is C2/m (No. 12) and the conventional cell measures 10.777, 5.158 and 10.222 Å, with angles of 90.00, 119.06 and 90.00 degrees. The inequivalent atoms are Tm at (0.091, 0.000, 0.284), Tm at (0.214, 0.500, 0.137), In at (0.000, 0.500, 0.500), Pd at (0.000, 0.000, 0.500), Pd at (0.076, 0.500, 0.814), Pd at (0.133, 0.000, 0.022) and Pd at (0.211, 0.500, 0.409).

The value obtained for the energy of formation from the pure elements is -16.70 kcal/mol of atoms. The density is 10.27 g/cm3.

Compound: MgInPbCl5
Source: Alexandria
Functional: PBE
Structure: relaxed

The space group is C2/c (No. 15) and the conventional cell measures 9.958, 11.176 and 10.188 Å, with angles of 90.00, 114.66 and 90.00 degrees. The inequivalent atoms are Mg at (0.250, 0.250, 0.000), In at (0.000, 0.063, 0.250), Pb at (0.000, 0.493, 0.750), Cl at (0.000, 0.224, 0.750), Cl at (0.071, 0.336, 0.090) and Cl at (0.196, 0.048, 0.063).

The density is 3.38 g/cm3. The value obtained for the energy relative to the elements, uncorrected is -10.24 eV/f.u.

Compound: PuThPN
Source: Alexandria
Functional: PBE
Structure: relaxed

The space group is P4/nmm (No. 129, origin choice 2) and the conventional cell measures 4.194, 4.194 and 9.655 Å, with angles of 90.00, 90.00 and 90.00 degrees. The inequivalent atoms are Pu at (0.250, 0.750, 0.000), Th at (0.250, 0.250, 0.386), P at (0.250, 0.250, 0.800) and N at (0.250, 0.750, 0.500).

The density is 10.19 g/cm3. The value obtained for the energy relative to the elements, uncorrected is -4.79 eV/f.u.

Compound: Sr2AcTe4
Source: Alexandria
Functional: PBE
Structure: relaxed

The space group is Cmcm (No. 63) and the conventional cell measures 4.668, 16.172 and 14.744 Å, with angles of 90.00, 90.00 and 90.00 degrees. The inequivalent atoms are Sr at (0.000, 0.129, 0.065), Ac at (0.000, 0.384, 0.250), Te at (0.000, 0.025, 0.250), Te at (0.000, 0.230, 0.631) and Te at (0.000, 0.500, 0.000).

The density is 5.45 g/cm3. The value obtained for the energy relative to the elements, uncorrected is -9.96 eV/f.u.

Compound: NdErTm2Tl4
Source: Alexandria
Functional: PBE
Structure: relaxed

The space group is R-3m (No. 166, hexagonal axes) and the conventional cell measures 5.3660, 5.3660 and 26.4337 Å, with angles of 90.00, 90.00 and 120.00 degrees. The inequivalent atoms are Nd at (0.0000, 0.0000, 0.0000), Er at (0.0000, 0.0000, 0.5000), Tm at (0.0000, 0.0000, 0.2493), Tl at (0.0000, 0.0000, 0.1268) and Tl at (0.0000, 0.0000, 0.3770).

The value obtained for the energy of formation from the pure elements is -7.34 kcal/mol of atoms. The density is 11.09 g/cm3.

Compound: CaNb3I
Source: Alexandria
Functional: PBE
Structure: relaxed

The space group is Pm-3m (No. 221) and the conventional cell measures 5.116, 5.116 and 5.116 Å, with angles of 90.00, 90.00 and 90.00 degrees. The inequivalent atoms are Ca at (0.000, 0.000, 0.000), Nb at (0.000, 0.500, 0.500) and I at (0.500, 0.500, 0.500).

The density is 5.53 g/cm3. The calculation puts the energy relative to the lowest polymorph listed for this composition at 0.00 eV per formula unit. The value obtained for the energy relative to the elements, uncorrected is 6.59 eV/f.u.

Compound: U4In
Source: Alexandria
Functional: PBE
Structure: relaxed

The space group is Pm-3m (No. 221) and the conventional cell measures 5.649, 5.649 and 5.649 Å, with angles of 90.00, 90.00 and 90.00 degrees. The inequivalent atoms are U at (0.000, 0.000, 0.000), U at (0.000, 0.500, 0.500) and In at (0.500, 0.500, 0.500).

The value obtained for the energy of formation from the pure elements is 46.41 kcal/mol of atoms. The density is 9.83 g/cm3.

Compound: Co2TcTe
Source: Alexandria
Functional: PBE
Structure: relaxed

The space group is P4/mmm (No. 123) and the conventional cell measures 2.918, 2.918 and 6.923 Å, with angles of 90.00, 90.00 and 90.00 degrees. The inequivalent atoms are Co at (0.000, 0.000, 0.228), Tc at (0.500, 0.500, 0.000) and Te at (0.500, 0.500, 0.500).

The density is 9.67 g/cm3. The value obtained for the energy relative to the elements, uncorrected is 1.88 eV/f.u.

Compound: PmDy2Ho6
Source: Alexandria
Functional: PBE
Structure: relaxed

The space group is P4_2/mnm (No. 136) and the conventional cell measures 10.618, 10.618 and 5.011 Å, with angles of 90.00, 90.00 and 90.00 degrees. The inequivalent atoms are Pm at (0.000, 0.000, 0.000), Dy at (0.167, 0.167, 0.500), Ho at (0.000, 0.334, 0.000) and Ho at (0.167, 0.833, 0.500).

The value obtained for the energy of formation from the pure elements is 0.46 kcal/mol of atoms. The density is 8.58 g/cm3. The calculation puts the energy relative to the lowest polymorph listed for this composition at 0.00 eV per formula unit.

Compound: Rb2SI6N
Source: Alexandria
Functional: PBE
Structure: relaxed

The space group is I4/mmm (No. 139) and the conventional cell measures 7.823, 7.823 and 11.010 Å, with angles of 90.00, 90.00 and 90.00 degrees. The inequivalent atoms are Rb at (0.000, 0.500, 0.250), S at (0.000, 0.000, 0.000), I at (0.000, 0.000, 0.261), I at (0.239, 0.239, 0.500) and N at (0.000, 0.000, 0.500).

The density is 4.82 g/cm3. The value obtained for the energy relative to the elements, uncorrected is -1.11 eV/f.u.

| no. | VASP energy (eV/cell) |
| --- | --- |
| 1 | -86.6 |
| 2 | -335.9 |
| 3 | -84.9 |
| 4 | -75.9 |
| 5 | -63.6 |
| 6 | -80.2 |
| 7 | -50.4 |
| 8 | -88.6 |
| 9 | -113.2 |
| 10 | -88.0 |
| 11 | -22.2 |
| 12 | -52.9 |
| 13 | -131.3 |
| 14 | -110.0 |
| 15 | -80.6 |
| 16 | -120.0 |
| 17 | -90.9 |
| 18 | -27.2 |
| 19 | -37.8 |
| 20 | -25.8 |
| 21 | -82.5 |
| 22 | -49.6 |